Entry i
Below is an optimized crystal structure of NiAsP, with properties calculated at the PBE level.

Unit cell a=5.794 b=5.642 c=5.787 alpha=90.00 beta=104.18 gamma=90.00
Space group P2_1/c (No. 14)
Asymmetric unit:
Ni1 0.236 0.010 0.245 x4
As1 0.349 0.626 0.152 x4
P1 0.143 0.129 0.857 x4

***

Entry ii
Below is an optimized crystal structure of NiAsP, with properties calculated at the PBE level.

Unit cell a=2.694 b=2.694 c=13.961 alpha=90.00 beta=90.00 gamma=90.00
Space group I4mm (No. 107)
Asymmetric unit:
Ni1 0.000 0.000 0.000 x2
As1 0.000 0.000 0.636 x2
P1 0.000 0.000 0.399 x2

***

Entry iii
Below is an optimized crystal structure of NiAsP, with properties calculated at the PBE level.

Unit cell a=5.708 b=5.708 c=5.708 alpha=90.00 beta=90.00 gamma=90.00
Space group F-43m (No. 216)
Asymmetric unit:
Ni1 0.000 0.000 0.000 x4
As1 0.250 0.250 0.750 x4
P1 0.250 0.250 0.250 x4

***

Which structure is most stable? entry i, by 0.206 eV/atom over the runner-up.

***

Entry i
Below is an optimized crystal structure of Ni4AsP, with properties calculated at the PBE level.

Unit cell a=6.308 b=8.653 c=5.621 alpha=90.00 beta=108.76 gamma=90.00
Space group C2/c (No. 15)
Asymmetric unit:
Ni1 0.111 0.186 0.094 x8
Ni2 0.205 0.404 0.435 x8
As1 0.000 0.370 0.750 x4
P1 0.000 0.030 0.750 x4

***

Entry ii
Below is an optimized crystal structure of Ni4AsP, with properties calculated at the PBE level.

Unit cell a=6.711 b=6.711 c=6.711 alpha=90.00 beta=90.00 gamma=90.00
Space group F-43m (No. 216)
Asymmetric unit:
Ni1 0.125 0.125 0.125 x16
As1 0.000 0.000 0.500 x4
P1 0.250 0.250 0.750 x4

***

Which structure is most stable? entry i, by 0.481 eV/atom over the runner-up.

***

Entry i
Below is an optimized crystal structure of SiNiAsP2, with properties calculated at the PBE level.

Unit cell a=3.735 b=4.643 c=5.456 alpha=65.99 beta=70.06 gamma=89.32
Space group P1 (No. 1)
Asymmetric unit:
Si1 0.000 0.000 0.000 x1
Ni1 0.263 0.288 0.471 x1
As1 0.650 0.436 0.692 x1
P1 0.337 0.874 0.332 x1
P2 0.910 0.421 0.176 x1

***

Entry ii
Below is an optimized crystal structure of SiNiAsP2, with properties calculated at the PBE level.

Unit cell a=4.705 b=3.621 c=5.228 alpha=90.00 beta=103.71 gamma=90.00
Space group Pm (No. 6)
Asymmetric unit:
Si1 0.000 0.000 0.000 x1
Ni1 0.642 0.500 0.466 x1
As1 0.668 0.500 0.982 x1
P1 0.342 0.000 0.391 x1
P2 0.951 0.000 0.555 x1

***

Which structure is most stable? entry ii, by 0.180 eV/atom over the runner-up.

***

Entry i
Below is an optimized crystal structure of Ni3AsPb, with properties calculated at the PBE level.

Unit cell a=4.734 b=4.734 c=4.734 alpha=90.00 beta=90.00 gamma=90.00
Space group Pm-3m (No. 221)
Asymmetric unit:
Ni1 0.000 0.000 0.500 x3
As1 0.500 0.500 0.500 x1
Pb1 0.000 0.000 0.000 x1

***

Entry ii
Below is an optimized crystal structure of Ni3AsPb, with properties calculated at the PBE level.

Unit cell a=4.448 b=4.448 c=4.448 alpha=90.00 beta=90.00 gamma=90.00
Space group Pm-3m (No. 221)
Asymmetric unit:
Ni1 0.000 0.000 0.500 x3
As1 0.000 0.000 0.000 x1
Pb1 0.500 0.500 0.500 x1

***

Which structure is most stable? entry ii, by 1.058 eV/atom over the runner-up.